# 1
Entry from Alexandria via LeMat-Bulk: KRhPbCl6 after structural relaxation (PBE).

Cell and atoms, written as CIF:
```
data_KRhPbCl6
_chemical_formula_sum 'K2 Rh2 Pb2 Cl12'
_cell_length_a 7.061
_cell_length_b 7.061
_cell_length_c 12.810
_cell_angle_alpha 90.00
_cell_angle_beta 90.00
_cell_angle_gamma 120.00
_space_group_name_H-M_alt 'P 1'
_space_group_IT_number 1
loop_
_space_group_symop_operation_xyz
'x,y,z'
loop_
_atom_site_label
_atom_site_type_symbol
_atom_site_fract_x
_atom_site_fract_y
_atom_site_fract_z
K1 K 0.000 0.000 0.000
K2 K 0.000 0.000 0.500
Rh1 Rh 0.667 0.333 0.250
Rh2 Rh 0.333 0.667 0.750
Pb1 Pb 0.333 0.667 0.250
Pb2 Pb 0.667 0.333 0.750
Cl1 Cl 0.660 0.602 0.141
Cl2 Cl 0.942 0.340 0.141
Cl3 Cl 0.340 0.942 0.641
Cl4 Cl 0.058 0.660 0.859
Cl5 Cl 0.398 0.340 0.359
Cl6 Cl 0.942 0.602 0.359
Cl7 Cl 0.602 0.942 0.859
Cl8 Cl 0.660 0.058 0.359
Cl9 Cl 0.058 0.398 0.641
Cl10 Cl 0.398 0.058 0.141
Cl11 Cl 0.602 0.660 0.641
Cl12 Cl 0.340 0.398 0.859
```

As for the formation energy from raw total energies: -1.087 eV per atom. As for the spin magnetization: 0.000 μB per formula unit. The total energy is -3.668 eV per atom.


# 2
Entry from Alexandria via LeMat-Bulk: In2NiRu after structural relaxation (PBE).

Cell and atoms, written as CIF:
```
data_In2NiRu
_chemical_formula_sum 'In2 Ni1 Ru1'
_cell_length_a 5.253
_cell_length_b 5.253
_cell_length_c 5.253
_cell_angle_alpha 136.77
_cell_angle_beta 136.77
_cell_angle_gamma 62.78
_space_group_name_H-M_alt 'P 1'
_space_group_IT_number 1
loop_
_space_group_symop_operation_xyz
'x,y,z'
loop_
_atom_site_label
_atom_site_type_symbol
_atom_site_fract_x
_atom_site_fract_y
_atom_site_fract_z
In1 In 0.000 0.000 0.000
In2 In 0.250 0.750 0.500
Ni1 Ni 0.500 0.500 0.000
Ru1 Ru 0.750 0.250 0.500
```

As for the spin magnetization: 0.720 μB per formula unit. The energy of formation from the pure elements is 152 meV/atom. The total energy is -4.982 eV per atom.


# 3
Entry from Alexandria via LeMat-Bulk: Tb2H7Ru2 after structural relaxation (PBE).

Cell and atoms, written as CIF:
```
data_Tb2H7Ru2
_chemical_formula_sum 'Tb2 H7 Ru2'
_cell_length_a 4.524
_cell_length_b 4.769
_cell_length_c 4.769
_cell_angle_alpha 83.78
_cell_angle_beta 90.02
_cell_angle_gamma 90.02
_space_group_name_H-M_alt 'P 1'
_space_group_IT_number 1
loop_
_space_group_symop_operation_xyz
'x,y,z'
loop_
_atom_site_label
_atom_site_type_symbol
_atom_site_fract_x
_atom_site_fract_y
_atom_site_fract_z
Tb1 Tb 0.500 0.238 0.762
Tb2 Tb 0.500 0.762 0.238
H1 H 0.206 0.000 0.500
H2 H 0.794 0.500 0.000
H3 H 0.794 0.000 0.500
H4 H 0.206 0.500 0.000
H5 H 0.000 0.000 0.000
H6 H 0.807 0.500 0.500
H7 H 0.193 0.500 0.500
Ru1 Ru 0.000 0.262 0.262
Ru2 Ru 0.000 0.738 0.738
```

As for the spin magnetization: 0.000 μB per formula unit. The total energy is -4.964 eV per atom.


# 4
Entry from Alexandria via LeMat-Bulk: Na3SmNp2S6 after structural relaxation (PBE).

Cell and atoms, written as CIF:
```
data_Na3SmNp2S6
_chemical_formula_sum 'Na3 Sm1 Np2 S6'
_cell_length_a 6.990
_cell_length_b 6.990
_cell_length_c 7.067
_cell_angle_alpha 99.50
_cell_angle_beta 99.50
_cell_angle_gamma 120.00
_space_group_name_H-M_alt 'P 1'
_space_group_IT_number 1
loop_
_space_group_symop_operation_xyz
'x,y,z'
loop_
_atom_site_label
_atom_site_type_symbol
_atom_site_fract_x
_atom_site_fract_y
_atom_site_fract_z
Na1 Na 0.166 0.834 0.500
Na2 Na 0.834 0.166 0.500
Na3 Na 0.500 0.500 0.500
Sm1 Sm 0.000 0.000 0.000
Np1 Np 0.333 0.667 0.000
Np2 Np 0.667 0.333 0.000
S1 S 0.924 0.585 0.771
S2 S 0.738 0.738 0.229
S3 S 0.076 0.415 0.229
S4 S 0.585 0.924 0.771
S5 S 0.262 0.262 0.771
S6 S 0.415 0.076 0.229
```

As for the formation energy from raw total energies: -1.499 eV per atom. As for the spin magnetization: 8.000 μB per formula unit. The total energy is -6.442 eV per atom.


# 5
Entry from Alexandria via LeMat-Bulk: BeBr3 after structural relaxation (PBE).

Cell and atoms, written as CIF:
```
data_BeBr3
_chemical_formula_sum 'Be1 Br3'
_cell_length_a 7.121
_cell_length_b 7.121
_cell_length_c 7.121
_cell_angle_alpha 155.11
_cell_angle_beta 113.70
_cell_angle_gamma 72.00
_space_group_name_H-M_alt 'P 1'
_space_group_IT_number 1
loop_
_space_group_symop_operation_xyz
'x,y,z'
loop_
_atom_site_label
_atom_site_type_symbol
_atom_site_fract_x
_atom_site_fract_y
_atom_site_fract_z
Be1 Be 0.000 0.000 0.000
Br1 Br 0.860 0.360 0.500
Br2 Br 0.500 0.500 0.000
Br3 Br 0.140 0.640 0.500
```

As for the formation energy from raw total energies: -0.381 eV per atom. As for the spin magnetization: 0.000 μB per formula unit. The total energy is -2.568 eV per atom. The calculation puts the excess energy over the best structure of this formula in the dataset at 122 meV/atom.


# 6
Entry from Alexandria via LeMat-Bulk: Ca2IrPt after structural relaxation (PBE).

Cell and atoms, written as CIF:
```
data_Ca2IrPt
_chemical_formula_sum 'Ca2 Ir1 Pt1'
_cell_length_a 7.252
_cell_length_b 4.953
_cell_length_c 3.361
_cell_angle_alpha 89.89
_cell_angle_beta 62.55
_cell_angle_gamma 125.15
_space_group_name_H-M_alt 'P 1'
_space_group_IT_number 1
loop_
_space_group_symop_operation_xyz
'x,y,z'
loop_
_atom_site_label
_atom_site_type_symbol
_atom_site_fract_x
_atom_site_fract_y
_atom_site_fract_z
Ca1 Ca 0.000 0.000 0.000
Ca2 Ca 0.500 0.000 0.500
Ir1 Ir 0.000 0.500 0.500
Pt1 Pt 0.500 0.500 0.000
```

As for the spin magnetization: 0.000 μB per formula unit. The energy of formation from the pure elements is -447 meV/atom. The total energy is -5.174 eV per atom.


# 7
Entry from Alexandria via LeMat-Bulk: Dy4Ni2Pt after structural relaxation (PBE).

Cell and atoms, written as CIF:
```
data_Dy4Ni2Pt
_chemical_formula_sum 'Dy8 Ni4 Pt2'
_cell_length_a 8.058
_cell_length_b 6.986
_cell_length_c 7.456
_cell_angle_alpha 107.39
_cell_angle_beta 113.16
_cell_angle_gamma 108.31
_space_group_name_H-M_alt 'P 1'
_space_group_IT_number 1
loop_
_space_group_symop_operation_xyz
'x,y,z'
loop_
_atom_site_label
_atom_site_type_symbol
_atom_site_fract_x
_atom_site_fract_y
_atom_site_fract_z
Dy1 Dy 0.965 0.240 0.378
Dy2 Dy 0.347 0.451 0.258
Dy3 Dy 0.899 0.672 0.634
Dy4 Dy 0.812 0.164 0.726
Dy5 Dy 0.339 0.942 0.242
Dy6 Dy 0.336 0.188 0.774
Dy7 Dy 0.516 0.788 0.866
Dy8 Dy 0.836 0.612 0.122
Ni1 Ni 0.570 0.389 0.630
Ni2 Ni 0.651 0.813 0.294
Ni3 Ni 0.608 0.268 0.206
Ni4 Ni 0.191 0.510 0.871
Pt1 Pt 0.204 0.720 0.478
Pt2 Pt 0.977 0.992 0.022
```

As for the spin magnetization: 0.000 μB per formula unit. The energy of formation from the pure elements is -583 meV/atom. The total energy is -5.728 eV per atom.


# 8
Entry from Alexandria via LeMat-Bulk: TmGaI4 after structural relaxation (PBE).

Cell and atoms, written as CIF:
```
data_TmGaI4
_chemical_formula_sum 'Tm1 Ga1 I4'
_cell_length_a 4.420
_cell_length_b 9.052
_cell_length_c 8.165
_cell_angle_alpha 119.26
_cell_angle_beta 90.00
_cell_angle_gamma 104.13
_space_group_name_H-M_alt 'P 1'
_space_group_IT_number 1
loop_
_space_group_symop_operation_xyz
'x,y,z'
loop_
_atom_site_label
_atom_site_type_symbol
_atom_site_fract_x
_atom_site_fract_y
_atom_site_fract_z
Tm1 Tm 0.000 0.000 0.000
Ga1 Ga 0.500 0.000 0.500
I1 I 0.386 0.772 0.026
I2 I 0.113 0.227 0.417
I3 I 0.614 0.228 0.974
I4 I 0.887 0.773 0.583
```

As for the formation energy from raw total energies: -1.023 eV per atom. As for the spin magnetization: 0.000 μB per formula unit. The total energy is -3.306 eV per atom.


# 9
Entry from Alexandria via LeMat-Bulk: Tb2PmPrTm4 after structural relaxation (PBE).

Cell and atoms, written as CIF:
```
data_Tb2PmPrTm4
_chemical_formula_sum 'Tb4 Pm2 Pr2 Tm8'
_cell_length_a 9.480
_cell_length_b 9.480
_cell_length_c 11.763
_cell_angle_alpha 128.35
_cell_angle_beta 128.35
_cell_angle_gamma 88.50
_space_group_name_H-M_alt 'P 1'
_space_group_IT_number 1
loop_
_space_group_symop_operation_xyz
'x,y,z'
loop_
_atom_site_label
_atom_site_type_symbol
_atom_site_fract_x
_atom_site_fract_y
_atom_site_fract_z
Tb1 Tb 0.500 0.000 0.000
Tb2 Tb 0.500 0.000 0.500
Tb3 Tb 0.000 0.000 0.500
Tb4 Tb 0.500 0.500 0.000
Pm1 Pm 0.000 0.500 0.000
Pm2 Pm 0.000 0.500 0.500
Pr1 Pr 0.500 0.500 0.500
Pr2 Pr 0.000 0.000 0.000
Tm1 Tm 0.253 0.748 0.000
Tm2 Tm 0.752 0.247 0.500
Tm3 Tm 0.248 0.753 0.500
Tm4 Tm 0.747 0.252 0.000
Tm5 Tm 0.749 0.751 0.003
Tm6 Tm 0.749 0.751 0.497
Tm7 Tm 0.251 0.249 0.503
Tm8 Tm 0.251 0.249 0.997
```

As for the spin magnetization: 2.540 μB per formula unit. The energy of formation from the pure elements is 430 meV/atom. The total energy is -4.155 eV per atom.


# 10
Entry from Alexandria via LeMat-Bulk: YSc2W after structural relaxation (PBE).

Cell and atoms, written as CIF:
```
data_YSc2W
_chemical_formula_sum 'Y1 Sc2 W1'
_cell_length_a 5.452
_cell_length_b 5.452
_cell_length_c 5.452
_cell_angle_alpha 134.26
_cell_angle_beta 127.72
_cell_angle_gamma 71.95
_space_group_name_H-M_alt 'P 1'
_space_group_IT_number 1
loop_
_space_group_symop_operation_xyz
'x,y,z'
loop_
_atom_site_label
_atom_site_type_symbol
_atom_site_fract_x
_atom_site_fract_y
_atom_site_fract_z
Sc1 Sc 0.997 0.997 0.000
Sc2 Sc 0.732 0.232 0.500
W1 W 0.511 0.511 0.000
Y1 Y 0.260 0.760 0.500
```

As for the spin magnetization: 0.000 μB per formula unit. The energy of formation from the pure elements is 356 meV/atom. The total energy is -7.664 eV per atom. The calculation puts the excess energy over the best structure of this formula in the dataset at 90 meV/atom.


# 11
Entry from Alexandria via LeMat-Bulk: La3TcSn after structural relaxation (PBE).

Cell and atoms, written as CIF:
```
data_La3TcSn
_chemical_formula_sum 'La3 Tc1 Sn1'
_cell_length_a 5.424
_cell_length_b 5.424
_cell_length_c 5.424
_cell_angle_alpha 90.00
_cell_angle_beta 90.00
_cell_angle_gamma 90.00
_space_group_name_H-M_alt 'P 1'
_space_group_IT_number 1
loop_
_space_group_symop_operation_xyz
'x,y,z'
loop_
_atom_site_label
_atom_site_type_symbol
_atom_site_fract_x
_atom_site_fract_y
_atom_site_fract_z
Tc1 Tc 0.000 0.000 0.000
Sn1 Sn 0.500 0.500 0.500
La1 La 0.000 0.500 0.000
La2 La 0.000 0.000 0.500
La3 La 0.500 0.000 0.000
```

As for the spin magnetization: 0.000 μB per formula unit. The energy of formation from the pure elements is -305 meV/atom. The total energy is -6.135 eV per atom. The calculation puts the excess energy over the best structure of this formula in the dataset at 0 meV/atom.


What did the fifth record say?
Entry from Alexandria via LeMat-Bulk: BeBr3 after structural relaxation (PBE).

Cell and atoms, written as CIF:
```
data_BeBr3
_chemical_formula_sum 'Be1 Br3'
_cell_length_a 7.121
_cell_length_b 7.121
_cell_length_c 7.121
_cell_angle_alpha 155.11
_cell_angle_beta 113.70
_cell_angle_gamma 72.00
_space_group_name_H-M_alt 'P 1'
_space_group_IT_number 1
loop_
_space_group_symop_operation_xyz
'x,y,z'
loop_
_atom_site_label
_atom_site_type_symbol
_atom_site_fract_x
_atom_site_fract_y
_atom_site_fract_z
Be1 Be 0.000 0.000 0.000
Br1 Br 0.860 0.360 0.500
Br2 Br 0.500 0.500 0.000
Br3 Br 0.140 0.640 0.500
```

As for the formation energy from raw total energies: -0.381 eV per atom. As for the spin magnetization: 0.000 μB per formula unit. The total energy is -2.568 eV per atom. The calculation puts the excess energy over the best structure of this formula in the dataset at 122 meV/atom.